# 1
A plane-wave DFT calculation with GGA-PBE was carried out for a relaxed structure of SiPd2O.

Cell lengths 5.158, 5.158, 6.262 Å; angles 65.68, 65.68, 90.00 degrees
Positions (direct):
O: 0.250 0.750 0.500
Si: 0.750 0.250 0.500
Pd: 0.375 0.402 0.750
Pd: 0.875 0.848 0.750
O: 0.500 0.500 0.000
Pd: 0.152 0.625 0.250
Si: 0.000 0.000 0.000
Pd: 0.598 0.125 0.250

Summary:
Symmetry   I-42d

***

# 2
A plane-wave DFT calculation with GGA-PBE was carried out for a relaxed structure of SiPd3O.

Cell lengths 4.219, 4.219, 4.219 Å; angles 90.00, 90.00, 90.00 degrees
Positions (direct):
Pd: 0.000 0.000 0.500
Si: 0.500 0.500 0.500
Pd: 0.500 0.000 0.000
O: 0.000 0.000 0.000
Pd: 0.000 0.500 0.000

Summary:
Symmetry   Pm-3m

***

# 3
A plane-wave DFT calculation with GGA-PBE was carried out for a relaxed structure of Si2PdO.

Cell lengths 4.515, 4.515, 6.542 Å; angles 69.81, 69.81, 90.00 degrees
Positions (direct):
Pd: 0.000 0.000 0.000
Si: 0.875 0.769 0.750
Pd: 0.750 0.250 0.500
Si: 0.375 0.481 0.750
Si: 0.519 0.125 0.250
O: 0.250 0.750 0.500
Si: 0.231 0.625 0.250
O: 0.500 0.500 0.000

Summary:
Symmetry   I-42d

***

# 4
A plane-wave DFT calculation with GGA-PBE was carried out for a relaxed structure of Tl2SiPdO4.

Cell lengths 5.656, 6.602, 9.867 Å; angles 82.95, 73.34, 64.63 degrees
Positions (direct):
O: 0.583 0.191 0.049
O: 0.368 0.809 0.049
O: 0.167 0.309 0.451
Si: 0.250 0.500 0.500
Tl: 0.573 0.500 0.855
O: 0.823 0.809 0.951
Pd: 0.000 0.000 0.000
Tl: 0.177 0.000 0.645
Tl: 0.823 0.000 0.355
O: 0.226 0.191 0.951
Si: 0.500 0.000 0.000
O: 0.382 0.691 0.451
O: 0.524 0.309 0.549
Pd: 0.750 0.500 0.500
Tl: 0.927 0.500 0.145
O: 0.927 0.691 0.549

Summary:
Symmetry   Fddd

***

# 5
A plane-wave DFT calculation with GGA-PBE was carried out for a relaxed structure of Tl2Si2PdO6.

Cell lengths 5.857, 5.857, 6.898 Å; angles 64.88, 64.88, 60.00 degrees
Positions (direct):
O: 0.252 0.722 0.773
O: 0.748 0.748 0.227
Si: 0.596 0.596 0.212
O: 0.722 0.252 0.773
O: 0.278 0.748 0.227
Tl: 0.206 0.206 0.383
O: 0.252 0.252 0.773
Pd: 0.000 0.000 0.000
O: 0.748 0.278 0.227
Si: 0.404 0.404 0.788
Tl: 0.794 0.794 0.617

Summary:
Symmetry   R-3m

***

# 6
A plane-wave DFT calculation with GGA-PBE was carried out for a relaxed structure of ZnSi2PdO6.

Cell lengths 5.401, 6.864, 6.864 Å; angles 85.05, 74.16, 74.16 degrees
Positions (direct):
O: 0.642 0.795 0.961
O: 0.046 0.658 0.634
Pd: 0.250 0.269 0.731
Si: 0.268 0.788 0.619
O: 0.954 0.342 0.366
Si: 0.768 0.619 0.788
Zn: 0.750 0.100 0.900
Pd: 0.750 0.731 0.269
O: 0.358 0.867 0.384
Zn: 0.250 0.900 0.100
Si: 0.732 0.212 0.381
O: 0.642 0.133 0.616
O: 0.358 0.205 0.039
O: 0.858 0.039 0.205
Si: 0.232 0.381 0.212
O: 0.454 0.366 0.342
O: 0.546 0.634 0.658
O: 0.142 0.616 0.133
O: 0.858 0.384 0.867
O: 0.142 0.961 0.795

Summary:
Symmetry   C2/c

***

Let's list ρ in order: 6.30; 8.03; 5.09; 6.32; 6.20; 4.57 g/cm³.
Let's list VASP energy in order: -42.608; -25.274; -45.482; -88.920; -65.333; -131.747 eV/cell.
Let's list calculated volume in order: 16.93; 15.02; 14.55; 19.93; 16.24; 11.77 A^3/atom.